[1]
VASP calculation (PBE) on a relaxed Ac3Si6Pd20 crystal.

Lattice parameters (Å, degrees): 8.8792 8.8792 8.8792 60.00 60.00 60.00
Fractional positions:
Pd1 0.3478 0.0000 0.6522
Pd2 0.3871 0.3871 0.3871
Pd3 0.0000 0.0000 0.3478
Pd4 0.6522 0.0000 0.0000
Pd5 0.6522 0.0000 0.3478
Pd6 0.6522 0.3478 0.0000
Pd7 0.0000 0.0000 0.6522
Pd8 0.0000 0.6522 0.3478
Pd9 0.0000 0.3478 0.6522
Pd10 0.3871 0.3871 0.8386
Pd11 0.3478 0.0000 0.0000
Pd12 0.6129 0.1614 0.6129
Pd13 0.0000 0.3478 0.0000
Pd14 0.3478 0.6522 0.0000
Pd15 0.6129 0.6129 0.6129
Pd16 0.0000 0.6522 0.0000
Pd17 0.6129 0.6129 0.1614
Pd18 0.3871 0.8386 0.3871
Pd19 0.1614 0.6129 0.6129
Pd20 0.8386 0.3871 0.3871
Si1 0.2688 0.2688 0.7312
Si2 0.7312 0.7312 0.2688
Si3 0.7312 0.2688 0.2688
Si4 0.2688 0.7312 0.2688
Si5 0.7312 0.2688 0.7312
Si6 0.2688 0.7312 0.7312
Ac1 0.0000 0.0000 0.0000
Ac2 0.7500 0.7500 0.7500
Ac3 0.2500 0.2500 0.2500

Calculated values
DOS at the Fermi energy   10.793 states/eV/cell
Uncorrected energy   -0.434 Ry per atom
Raw formation energy   -0.77 eV/atom
SG   Fm-3m (225)
Volume   495 Å³ per cell

[2]
VASP calculation (PBE) on a relaxed AcSi3Pd crystal.

Lattice parameters (Å, degrees): 4.4595 4.4595 5.8164 112.56 112.56 89.96
Fractional positions:
Si1 0.6101 0.1101 0.2202
Si2 0.7377 0.7377 0.4755
Si3 0.1101 0.6101 0.2202
Pd1 0.9969 0.9968 0.9937
Ac1 0.3531 0.3531 0.7062

Calculated values
DOS at the Fermi energy   1.772 states/eV/cell
Uncorrected energy   -0.425 Ry per atom
Raw formation energy   -0.67 eV/atom
Energy relative to the lowest polymorph listed for this composition   0.0 meV per atom
SG   I4mm (107)
Volume   97 Å³ per cell

[3]
VASP calculation (PBE) on a relaxed Ac3Si4Pd2 crystal.

Lattice parameters (Å, degrees): 4.3091 6.2873 8.8740 108.75 90.00 110.04
Fractional positions:
Si1 0.8647 0.7293 0.5879
Si2 0.1353 0.2707 0.4121
Si3 0.7264 0.4528 0.0616
Si4 0.2736 0.5472 0.9384
Ac1 0.3902 0.7804 0.3180
Ac2 0.6098 0.2196 0.6820
Ac3 0.0000 0.0000 0.0000
Pd1 0.3212 0.6424 0.6848
Pd2 0.6788 0.3576 0.3152

Calculated values
DOS at the Fermi energy   5.651 states/eV/cell
Uncorrected energy   -0.415 Ry per atom
Raw formation energy   -0.72 eV/atom
Energy relative to the lowest polymorph listed for this composition   112.3 meV per atom
SG   C2/m (12)
Volume   212 Å³ per cell